Th8Ge3AsSe4, optimized geometry, DFT PBE; formation energy from raw total energies = -124.5 kJ/mol of atoms; Fermi-level density of states = 14.13 states/eV per cell; calculated density = 9372 kg/m3; V = 437 Å³ per cell; total magnetization = 0.0 μB/f.u.
1.0
-3.5554 7.2892 2.7294
-7.6474 -2.8929 -2.2360
4.9768 -4.5633 5.2562
Th Ge As Se
8 3 1 4
Cartesian
-1.6064 -4.8781 4.2431 Th
-4.0893 -2.6015 1.6208 Th
-0.3586 -1.2120 2.7697 Th
-3.3801 -1.2416 5.6048 Th
-2.8458 1.0746 0.1448 Th
-5.8674 1.0450 2.9799 Th
-2.1367 2.4345 4.1287 Th
-4.6196 4.7111 1.5065 Th
-5.6014 2.1982 0.2467 Ge
-3.1130 -0.0835 2.8748 Ge
-1.3353 -3.7281 1.5101 Ge
-3.8237 -1.4464 -1.1180 As
-1.7777 3.6446 1.3647 Se
0.7107 1.3629 3.9928 Se
0.0000 0.0000 0.0000 Se
2.4884 -2.2817 2.6281 Se